1.
The following is a GGA-PBE calculation of a relaxed Nd6ZnCo2I3 crystal, from the Alexandria database.

a b c (Å): 7.2140 7.2140 8.4431
angles (deg): 98.19 98.19 119.96
Last column: nearest neighbours and their distance in Å.
Element x y z (fractional)
Co 0.6674 0.3326 0.0000  6 Nd 2.76-2.77
Nd 0.0638 0.4242 0.1882  2 Co 2.76-2.77, 1 Zn 3.02
I 0.1626 0.8374 0.5000  6 Nd 3.38-3.57
Nd 0.4242 0.0638 0.1882  2 Co 2.76-2.77, 1 Zn 3.02
Nd 0.2987 0.2987 0.8141  2 Co 2.77, 1 Zn 3.01
Nd 0.7013 0.7013 0.1859  2 Co 2.77, 1 Zn 3.01
I 0.8374 0.1626 0.5000  6 Nd 3.38-3.57
I 0.5000 0.5000 0.5000  6 Nd 3.37-3.56
Co 0.3326 0.6674 0.0000  6 Nd 2.76-2.77
Nd 0.9362 0.5758 0.8118  2 Co 2.76-2.77, 1 Zn 3.02
Zn 0.0000 0.0000 0.0000  6 Nd 3.01-3.02
Nd 0.5758 0.9362 0.8118  2 Co 2.76-2.77, 1 Zn 3.02

Values from the calculation:
total magnetization: 0.0 Bohr magnetons per cell
SG: C2/m (12)
formation energy (no corrections): -573 meV/atom

***

2.
The following is a GGA-PBE calculation of a relaxed Cs3Er3VSe8 crystal, from the Alexandria database.

a b c (Å): 8.1411 8.1408 9.7673
angles (deg): 114.65 90.00 120.00
Last column: nearest neighbours and their distance in Å.
Element x y z (fractional)
Se 0.2714 0.5427 0.3143  3 Er 2.84
Se 0.7286 0.4573 0.6857  3 Er 2.84
Er 0.0000 0.5000 0.5000  6 Se 2.84-2.86
Er 0.5000 0.0000 0.5000  6 Se 2.84-2.86
V 0.0000 0.0000 0.5000  6 Se 2.62
Cs 0.0000 0.5000 0.0000  6 Se 3.57-3.60
Se 0.7889 0.0379 0.3269  1 V 2.62, 2 Er 2.86
Cs 0.5000 0.5000 0.0000  6 Se 3.57-3.60
Cs 0.0000 0.0000 0.0000  6 Se 3.57-3.60
Er 0.5000 0.5000 0.5000  6 Se 2.84-2.86
Se 0.2111 0.4222 0.6731  1 V 2.62, 2 Er 2.86
Se 0.2111 0.9621 0.6731  1 V 2.62, 2 Er 2.86
Se 0.2490 0.0379 0.3269  1 V 2.62, 2 Er 2.86
Se 0.7889 0.5778 0.3269  1 V 2.62, 2 Er 2.86
Se 0.7510 0.9621 0.6731  1 V 2.62, 2 Er 2.86

Values from the calculation:
total magnetization: 1.0 Bohr magnetons per cell
SG: R-3m (166)
formation energy (no corrections): -1450 meV/atom

***

3.
The following is a GGA-PBE calculation of a relaxed BaAc2Pm crystal, from the Alexandria database.

a b c (Å): 6.3341 6.3341 6.3341
angles (deg): 60.00 60.00 60.00
Last column: nearest neighbours and their distance in Å.
Element x y z (fractional)
Ba 0.5000 0.5000 0.5000  8 Ac 3.88
Ac 0.7500 0.7500 0.7500  4 Ba 3.88, 4 Pm 3.88
Ac 0.2500 0.2500 0.2500  4 Ba 3.88, 4 Pm 3.88
Pm 0.0000 0.0000 0.0000  8 Ac 3.88

Values from the calculation:
total magnetization: 1.3 Bohr magnetons per cell
SG: Fm-3m (225)
ΔH_f (0 K): 0.20 eV/atom

***

4.
The following is a GGA-PBE calculation of a relaxed MnAsHSe2 crystal, from the Alexandria database.

a b c (Å): 4.6265 4.6265 4.6160
angles (deg): 90.00 90.00 90.00
Last column: nearest neighbours and their distance in Å.
Element x y z (fractional)
As 0.0000 0.0000 0.5000  2 Mn 2.31
Mn 0.0000 0.0000 0.0000  2 As 2.31, 4 Se 2.31
Se 0.5000 0.0000 0.0000  2 Mn 2.31
Se 0.0000 0.5000 0.0000  2 Mn 2.31
H 0.5000 0.5000 0.5000  8 Se 3.27, 4 As 3.27

Values from the calculation:
total magnetization: 0.3 Bohr magnetons per cell
SG: P4/mmm (123)
total DFT energy (no corrections): -0.1484 Ha/atom

***

5.
The following is a GGA-PBE calculation of a relaxed SmCuAgPt crystal, from the Alexandria database.

a b c (Å): 4.7896 4.7896 4.7896
angles (deg): 60.00 60.00 60.00
Last column: nearest neighbours and their distance in Å.
Element x y z (fractional)
Ag 0.0000 0.0000 0.0000  4 Pt 2.93, 4 Cu 2.93
Cu 0.7500 0.7500 0.7500  4 Sm 2.93, 4 Ag 2.93
Pt 0.2500 0.2500 0.2500  4 Sm 2.93, 4 Ag 2.93
Sm 0.5000 0.5000 0.5000  4 Cu 2.93, 4 Pt 2.93

Values from the calculation:
total magnetization: 0.0 Bohr magnetons per cell
SG: F-43m (216)
ΔH_f (0 K): -0.40 eV/atom

***

6.
The following is a GGA-PBE calculation of a relaxed Be4CuW crystal, from the Alexandria database.

a b c (Å): 4.3817 4.3817 4.3817
angles (deg): 60.00 60.00 60.00
Last column: nearest neighbours and their distance in Å.
Element x y z (fractional)
Be 0.6281 0.6281 0.6281  6 Be 2.14-2.25
Cu 0.2500 0.2500 0.2500  12 Be 2.58, 4 W 2.68
W 0.0000 0.0000 0.0000  12 Be 2.56, 4 Cu 2.68
Be 0.6281 0.1156 0.6281  6 Be 2.14-2.25
Be 0.6281 0.6281 0.1156  6 Be 2.14-2.25
Be 0.1156 0.6281 0.6281  6 Be 2.14-2.25

Values from the calculation:
total magnetization: 0.0 Bohr magnetons per cell
SG: F-43m (216)
ΔH_f (0 K): 0.07 eV/atom